(1)
LiPuPa2Se4: optimized geometry, PBE.

Computed properties:
Formation energy (no corrections), meV/atom: -1308

a b c (Å): 3.994 7.202 6.933
angles (deg): 71.28 90.00 90.00
Last column: magnetic moment on the atom in μB.
Element x y z (fractional)
Se 0.500 0.258 0.758  -0.03
Se 0.500 0.742 0.242  -0.03
Se 0.000 0.739 0.763  -0.01
Se 0.000 0.261 0.237  -0.01
Pu 0.000 0.500 0.500  5.30
Pa 0.000 0.000 0.000  -0.45
Pa 0.500 0.000 0.500  -0.81
Li 0.500 0.500 0.000  0.00

***

(2)
CaNbGe: optimized geometry, PBE.

Computed properties:
Calculated total energy, eV/atom: -5.7654

a b c (Å): 7.313 3.762 10.297
angles (deg): 90.00 93.12 90.00
Element x y z (fractional)
Ge 0.280 0.000 0.533
Ge 0.859 0.000 0.743
Ge 0.859 0.500 0.243
Ge 0.280 0.500 0.033
Ca 0.285 0.000 0.821
Ca 0.593 0.000 0.097
Ca 0.285 0.500 0.321
Ca 0.593 0.500 0.597
Nb 0.056 0.500 0.614
Nb 0.921 0.000 0.434
Nb 0.921 0.500 0.934
Nb 0.056 0.000 0.114

***

(3)
Ba2SrRh: optimized geometry, PBE.

Computed properties:
Polymorph energy (0 for the lowest one), eV per atom: 0.088

a b c (Å): 6.190 6.190 8.019
angles (deg): 68.57 68.57 39.39
Element x y z (fractional)
Ba 0.004 0.004 0.075
Ba 0.844 0.844 0.677
Rh 0.466 0.466 0.375
Sr 0.186 0.186 0.373